[1]
Compound: Er3GaCo8
Source: Alexandria
Functional: PBE-GGA
Structure: optimized geometry

Results
DOS at the Fermi energy: 17.11 states/eV per cell
Formation energy: -0.222 eV/atom
Total magnetic moment: 8.5 μB per formula unit

Lattice parameters (Å, degrees): 8.6141 8.6141 8.6141 33.45 33.45 33.45
Closest atoms and distances in Å follow each position.
Atoms (fractional coordinates):
Er  0.0000  0.0000  0.0000  12 Co 2.91-2.97, 4 Er 3.10-3.12
Er  0.1281  0.1281  0.1281  12 Co 2.80-2.93, 3 Ga 2.98, 1 Er 3.12
Er  0.6183  0.6183  0.6183  12 Co 2.85-3.09, 1 Ga 2.98, 3 Er 3.10
Ga  0.4960  0.4960  0.4960  12 Co 2.80-2.93, 4 Er 2.98
Co  0.0609  0.0609  0.5589  6 Co 2.44-2.52
Co  0.0609  0.5589  0.0609  6 Co 2.44-2.52
Co  0.0662  0.5624  0.5624  6 Co 2.46-2.51
Co  0.3122  0.3122  0.3122  6 Co 2.51-2.52
Co  0.5589  0.0609  0.0609  6 Co 2.44-2.52
Co  0.5624  0.0662  0.5624  6 Co 2.46-2.51
Co  0.5624  0.5624  0.0662  6 Co 2.46-2.51
Co  0.8127  0.8127  0.8127  6 Co 2.44-2.47

---

[2]
Compound: Ta3C
Source: Alexandria
Functional: PBE-GGA
Structure: optimized geometry

Results
DOS at the Fermi energy: 2.03 states/eV per cell
Formation energy: 0.000 eV/atom
Total magnetic moment: 0.0 μB per formula unit
Energy above the lowest structure with this stoichiometry: 0.362 eV/atom

Lattice parameters (Å, degrees): 2.8945 2.8945 7.7805 90.00 90.00 112.09
Closest atoms and distances in Å follow each position.
Atoms (fractional coordinates):
Ta  0.0000  0.0000  0.0000  10 Ta 2.89-3.23
Ta  0.5000  0.5000  0.3079  2 C 2.20
Ta  0.5000  0.5000  0.6921  2 C 2.20
C  0.0000  0.0000  0.5000  4 Ta 2.20

---

[3]
Compound: Ce6CdSe12
Source: Alexandria
Functional: PBE-GGA
Structure: optimized geometry

Results
DOS at the Fermi energy: 22.69 states/eV per cell
Total energy: -5.6604 eV per atom
Total magnetic moment: 2.3 μB per formula unit

Lattice parameters (Å, degrees): 8.3762 8.3762 8.3762 100.39 100.39 100.39
Closest atoms and distances in Å follow each position.
Atoms (fractional coordinates):
Ce  0.1193  0.7994  0.6332  7 Se 2.89-3.11
Ce  0.2006  0.3668  0.8807  7 Se 2.89-3.11
Ce  0.3668  0.8807  0.2006  7 Se 2.89-3.11
Ce  0.6332  0.1193  0.7994  7 Se 2.89-3.11
Ce  0.7994  0.6332  0.1193  7 Se 2.89-3.11
Ce  0.8807  0.2006  0.3668  7 Se 2.89-3.11
Cd  0.5000  0.5000  0.5000  6 Se 2.79
Se  0.0704  0.9240  0.3236  4 Ce 2.91-3.04
Se  0.0760  0.6764  0.9296  4 Ce 2.91-3.04
Se  0.1779  0.4401  0.5545  1 Cd 2.79, 3 Ce 2.89-3.11
Se  0.3236  0.0704  0.9240  4 Ce 2.91-3.04
Se  0.4401  0.5545  0.1779  1 Cd 2.79, 3 Ce 2.89-3.11
Se  0.4455  0.8221  0.5599  1 Cd 2.79, 3 Ce 2.89-3.11
Se  0.5545  0.1779  0.4401  1 Cd 2.79, 3 Ce 2.89-3.11
Se  0.5599  0.4455  0.8221  1 Cd 2.79, 3 Ce 2.89-3.11
Se  0.6764  0.9296  0.0760  4 Ce 2.91-3.04
Se  0.8221  0.5599  0.4455  1 Cd 2.79, 3 Ce 2.89-3.11
Se  0.9240  0.3236  0.0704  4 Ce 2.91-3.04
Se  0.9296  0.0760  0.6764  4 Ce 2.91-3.04

---

[4]
Compound: TbScCu4
Source: Alexandria
Functional: PBE-GGA
Structure: optimized geometry

Results
DOS at the Fermi energy: 3.44 states/eV per cell
Formation energy: -0.240 eV/atom
Total magnetic moment: 0.0 μB per formula unit
Energy above the lowest structure with this stoichiometry: 0.000 eV/atom

Lattice parameters (Å, degrees): 5.3449 5.3449 5.3449 133.38 103.61 94.46
Closest atoms and distances in Å follow each position.
Atoms (fractional coordinates):
Tb  0.0000  0.0000  0.0000  12 Cu 2.86-3.09
Sc  0.5934  0.0934  0.5000  12 Cu 2.89-3.05
Cu  0.0144  0.7151  0.2993  4 Cu 2.46-2.65
Cu  0.1940  0.3878  0.8062  4 Cu 2.46-2.56
Cu  0.4159  0.7151  0.7007  4 Cu 2.46-2.65
Cu  0.5816  0.3878  0.1938  4 Cu 2.46-2.56

---

[5]
Compound: W5C
Source: Alexandria
Functional: PBE-GGA
Structure: optimized geometry

Results
DOS at the Fermi energy: 3.67 states/eV per cell
Formation energy: 1.804 eV/atom
Total magnetic moment: 0.0 μB per formula unit
Energy above the lowest structure with this stoichiometry: 1.314 eV/atom

Lattice parameters (Å, degrees): 5.1162 5.1162 4.7088 90.00 90.00 120.00
Closest atoms and distances in Å follow each position.
Atoms (fractional coordinates):
W  0.0000  0.5000  0.0000  8 W 2.56-2.78
W  0.3333  0.6667  0.5000  9 W 2.78-2.95, 3 C 2.95
W  0.5000  0.0000  0.0000  8 W 2.56-2.78
W  0.5000  0.5000  0.0000  8 W 2.56-2.78
W  0.6667  0.3333  0.5000  9 W 2.78-2.95, 3 C 2.95
C  0.0000  0.0000  0.5000  6 W 2.95

---

[6]
Compound: Y2HoHf
Source: Alexandria
Functional: PBE-GGA
Structure: optimized geometry

Results
DOS at the Fermi energy: 7.81 states/eV per cell
Formation energy: 0.232 eV/atom
Total magnetic moment: 0.0 μB per formula unit
Energy above the lowest structure with this stoichiometry: 0.112 eV/atom

Lattice parameters (Å, degrees): 3.9948 3.9948 7.2862 90.00 90.00 90.00
Closest atoms and distances in Å follow each position.
Atoms (fractional coordinates):
Y  0.0000  0.0000  0.2243  4 Hf 3.26, 1 Y 3.27, 4 Ho 3.47
Y  0.0000  0.0000  0.7757  4 Hf 3.26, 1 Y 3.27, 4 Ho 3.47
Ho  0.5000  0.5000  0.5000  8 Y 3.47, 2 Hf 3.64
Hf  0.5000  0.5000  0.0000  8 Y 3.26, 2 Ho 3.64